A geometry-optimized PuAsAuN structure. Source: Alexandria, functional GGA-PBE.

Calculated values
Volume   18.0 A^3/atom
E_form (uncorrected)   -0.331 eV per atom
Magnetization   4.66 μB per formula unit
N(E_F)   12.93 states/eV per cell

Geometry as CIF:
```
data_PuAsAuN
_cell_length_a 3.259
_cell_length_b 3.259
_cell_length_c 13.590
_cell_angle_alpha 90.00
_cell_angle_beta 90.00
_cell_angle_gamma 90.00
_symmetry_space_group_name_H-M 'I 4 m m'
_symmetry_Int_Tables_number 107
_symmetry_space_group_name_Hall 'I 4 -2'
loop_
_atom_site_label
_atom_site_type_symbol
_atom_site_fract_x
_atom_site_fract_y
_atom_site_fract_z
Pu1 Pu 0.000 0.000 0.000
As1 As 0.000 0.000 0.687
Au1 Au 0.000 0.000 0.306
N1 N 0.000 0.000 0.468
```

---

A geometry-optimized AsRuAuN2 structure. Source: Alexandria, functional GGA-PBE.

Calculated values
Volume   15.0 A^3/atom
E_form (uncorrected)   1.817 eV per atom
Magnetization   2.97 μB per formula unit
N(E_F)   5.03 states/eV per cell

Geometry as CIF:
```
data_AsRuAuN2
_cell_length_a 3.830
_cell_length_b 3.830
_cell_length_c 5.109
_cell_angle_alpha 90.00
_cell_angle_beta 90.00
_cell_angle_gamma 90.00
_symmetry_space_group_name_H-M 'P 4/m m m'
_symmetry_Int_Tables_number 123
_symmetry_space_group_name_Hall '-P 4 2'
loop_
_atom_site_label
_atom_site_type_symbol
_atom_site_fract_x
_atom_site_fract_y
_atom_site_fract_z
As1 As 0.000 0.000 0.000
Ru1 Ru 0.500 0.500 0.500
Au1 Au 0.000 0.000 0.500
N1 N 0.000 0.500 0.000
```

---

A geometry-optimized AsAuS2N structure. Source: Alexandria, functional GGA-PBE.

Calculated values
E above lowest polymorph   0 meV/atom
Volume   17.1 A^3/atom
E_form (uncorrected)   1.054 eV per atom
Magnetization   0.00 μB per formula unit
N(E_F)   4.68 states/eV per cell

Geometry as CIF:
```
data_AsAuS2N
_cell_length_a 4.927
_cell_length_b 4.927
_cell_length_c 3.524
_cell_angle_alpha 90.00
_cell_angle_beta 90.00
_cell_angle_gamma 90.00
_symmetry_space_group_name_H-M 'P 4/m m m'
_symmetry_Int_Tables_number 123
_symmetry_space_group_name_Hall '-P 4 2'
loop_
_atom_site_label
_atom_site_type_symbol
_atom_site_fract_x
_atom_site_fract_y
_atom_site_fract_z
As1 As 0.000 0.000 0.000
Au1 Au 0.500 0.500 0.500
S1 S 0.000 0.500 0.000
N1 N 0.000 0.000 0.500
```

---

A geometry-optimized AsAuS2N structure. Source: Alexandria, functional GGA-PBE.

Calculated values
E above lowest polymorph   227 meV/atom
Volume   19.0 A^3/atom
E_form (uncorrected)   1.281 eV per atom
Magnetization   0.00 μB per formula unit
N(E_F)   3.22 states/eV per cell

Geometry as CIF:
```
data_AsAuS2N
_cell_length_a 5.014
_cell_length_b 5.014
_cell_length_c 3.770
_cell_angle_alpha 90.00
_cell_angle_beta 90.00
_cell_angle_gamma 90.00
_symmetry_space_group_name_H-M 'P 4/m m m'
_symmetry_Int_Tables_number 123
_symmetry_space_group_name_Hall '-P 4 2'
loop_
_atom_site_label
_atom_site_type_symbol
_atom_site_fract_x
_atom_site_fract_y
_atom_site_fract_z
As1 As 0.000 0.000 0.000
Au1 Au 0.500 0.500 0.500
S1 S 0.000 0.500 0.500
N1 N 0.500 0.500 0.000
```

---

A geometry-optimized As2AuSeN structure. Source: Alexandria, functional GGA-PBE.

Calculated values
E above lowest polymorph   1156 meV/atom
Volume   25.2 A^3/atom
E_form (uncorrected)   2.007 eV per atom
Magnetization   0.00 μB per formula unit
N(E_F)   7.33 states/eV per cell

Geometry as CIF:
```
data_As2AuSeN
_cell_length_a 4.996
_cell_length_b 4.996
_cell_length_c 5.057
_cell_angle_alpha 90.00
_cell_angle_beta 90.00
_cell_angle_gamma 90.00
_symmetry_space_group_name_H-M 'P 4/m m m'
_symmetry_Int_Tables_number 123
_symmetry_space_group_name_Hall '-P 4 2'
loop_
_atom_site_label
_atom_site_type_symbol
_atom_site_fract_x
_atom_site_fract_y
_atom_site_fract_z
As1 As 0.000 0.500 0.000
Au1 Au 0.000 0.000 0.000
Se1 Se 0.000 0.000 0.500
N1 N 0.500 0.500 0.500
```

---

A geometry-optimized AsAuSeN2 structure. Source: Alexandria, functional GGA-PBE.

Calculated values
E above lowest polymorph   453 meV/atom
Volume   23.8 A^3/atom
E_form (uncorrected)   1.693 eV per atom
Magnetization   2.34 μB per formula unit
N(E_F)   2.42 states/eV per cell

Geometry as CIF:
```
data_AsAuSeN2
_cell_length_a 3.913
_cell_length_b 3.913
_cell_length_c 7.766
_cell_angle_alpha 90.00
_cell_angle_beta 90.00
_cell_angle_gamma 90.00
_symmetry_space_group_name_H-M 'P 4/m m m'
_symmetry_Int_Tables_number 123
_symmetry_space_group_name_Hall '-P 4 2'
loop_
_atom_site_label
_atom_site_type_symbol
_atom_site_fract_x
_atom_site_fract_y
_atom_site_fract_z
As1 As 0.000 0.000 0.000
Au1 Au 0.500 0.500 0.500
Se1 Se 0.500 0.500 0.000
N1 N 0.000 0.500 0.500
```

---

A geometry-optimized AsAuSeN2 structure. Source: Alexandria, functional GGA-PBE.

Calculated values
E above lowest polymorph   0 meV/atom
Volume   17.8 A^3/atom
E_form (uncorrected)   1.240 eV per atom
Magnetization   0.93 μB per formula unit
N(E_F)   3.85 states/eV per cell

Geometry as CIF:
```
data_AsAuSeN2
_cell_length_a 3.697
_cell_length_b 3.697
_cell_length_c 6.495
_cell_angle_alpha 90.00
_cell_angle_beta 90.00
_cell_angle_gamma 90.00
_symmetry_space_group_name_H-M 'P 4/m m m'
_symmetry_Int_Tables_number 123
_symmetry_space_group_name_Hall '-P 4 2'
loop_
_atom_site_label
_atom_site_type_symbol
_atom_site_fract_x
_atom_site_fract_y
_atom_site_fract_z
As1 As 0.000 0.000 0.000
Au1 Au 0.500 0.500 0.500
Se1 Se 0.000 0.000 0.500
N1 N 0.000 0.500 0.000
```

---

A geometry-optimized As2AuSeN structure. Source: Alexandria, functional GGA-PBE.

Calculated values
E above lowest polymorph   0 meV/atom
Volume   17.2 A^3/atom
E_form (uncorrected)   0.851 eV per atom
Magnetization   0.00 μB per formula unit
N(E_F)   2.35 states/eV per cell

Geometry as CIF:
```
data_As2AuSeN
_cell_length_a 4.372
_cell_length_b 4.372
_cell_length_c 4.498
_cell_angle_alpha 90.00
_cell_angle_beta 90.00
_cell_angle_gamma 90.00
_symmetry_space_group_name_H-M 'P 4/m m m'
_symmetry_Int_Tables_number 123
_symmetry_space_group_name_Hall '-P 4 2'
loop_
_atom_site_label
_atom_site_type_symbol
_atom_site_fract_x
_atom_site_fract_y
_atom_site_fract_z
As1 As 0.000 0.500 0.000
Au1 Au 0.000 0.000 0.500
Se1 Se 0.500 0.500 0.500
N1 N 0.500 0.500 0.000
```

---

A geometry-optimized Sr6AsAu2N structure. Source: Alexandria, functional GGA-PBE.

Calculated values
Volume   32.2 A^3/atom
E_form (uncorrected)   -0.671 eV per atom
Magnetization   0.00 μB per formula unit
N(E_F)   13.99 states/eV per cell

Geometry as CIF:
```
data_Sr6AsAu2N
_cell_length_a 7.322
_cell_length_b 8.160
_cell_length_c 12.814
_cell_angle_alpha 90.00
_cell_angle_beta 122.85
_cell_angle_gamma 90.00
_symmetry_space_group_name_H-M 'P 1 21/c 1'
_symmetry_Int_Tables_number 14
loop_
_symmetry_equiv_pos_as_xyz
'x,y,z'
'-x,-y,-z'
'-x,y+1/2,-z+1/2'
'x,-y+1/2,z+1/2'
loop_
_atom_site_label
_atom_site_type_symbol
_atom_site_fract_x
_atom_site_fract_y
_atom_site_fract_z
Sr1 Sr 0.111 0.033 0.231
Sr2 Sr 0.219 0.710 0.059
Sr3 Sr 0.355 0.171 0.056
As1 As 0.500 0.000 0.500
Au1 Au 0.294 0.096 0.751
N1 N 0.000 0.000 0.000
```

---

A geometry-optimized Sr6As2AuN structure. Source: Alexandria, functional GGA-PBE.

Calculated values
Volume   31.3 A^3/atom
E_form (uncorrected)   -0.822 eV per atom
Magnetization   0.00 μB per formula unit
N(E_F)   9.06 states/eV per cell

Geometry as CIF:
```
data_Sr6As2AuN
_cell_length_a 7.322
_cell_length_b 8.083
_cell_length_c 12.467
_cell_angle_alpha 90.00
_cell_angle_beta 122.09
_cell_angle_gamma 90.00
_symmetry_space_group_name_H-M 'P 1 21/c 1'
_symmetry_Int_Tables_number 14
loop_
_symmetry_equiv_pos_as_xyz
'x,y,z'
'-x,-y,-z'
'-x,y+1/2,-z+1/2'
'x,-y+1/2,z+1/2'
loop_
_atom_site_label
_atom_site_type_symbol
_atom_site_fract_x
_atom_site_fract_y
_atom_site_fract_z
Sr1 Sr 0.080 0.052 0.227
Sr2 Sr 0.221 0.711 0.072
Sr3 Sr 0.358 0.164 0.062
As1 As 0.306 0.102 0.760
Au1 Au 0.500 0.000 0.500
N1 N 0.000 0.000 0.000
```

---

A geometry-optimized TaAsAuN2 structure. Source: Alexandria, functional GGA-PBE.

Calculated values
Volume   17.7 A^3/atom
E_form (uncorrected)   0.552 eV per atom
Magnetization   0.00 μB per formula unit
N(E_F)   3.60 states/eV per cell

Geometry as CIF:
```
data_TaAsAuN2
_cell_length_a 3.972
_cell_length_b 3.972
_cell_length_c 5.605
_cell_angle_alpha 90.00
_cell_angle_beta 90.00
_cell_angle_gamma 90.00
_symmetry_space_group_name_H-M 'P 4/m m m'
_symmetry_Int_Tables_number 123
_symmetry_space_group_name_Hall '-P 4 2'
loop_
_atom_site_label
_atom_site_type_symbol
_atom_site_fract_x
_atom_site_fract_y
_atom_site_fract_z
Ta1 Ta 0.000 0.000 0.000
As1 As 0.500 0.500 0.500
Au1 Au 0.000 0.000 0.500
N1 N 0.000 0.500 0.000
```

---

A geometry-optimized TeAsAuN2 structure. Source: Alexandria, functional GGA-PBE.

Calculated values
E above lowest polymorph   0 meV/atom
Volume   18.8 A^3/atom
E_form (uncorrected)   1.265 eV per atom
Magnetization   1.02 μB per formula unit
N(E_F)   3.68 states/eV per cell

Geometry as CIF:
```
data_TeAsAuN2
_cell_length_a 3.819
_cell_length_b 3.819
_cell_length_c 6.450
_cell_angle_alpha 90.00
_cell_angle_beta 90.00
_cell_angle_gamma 90.00
_symmetry_space_group_name_H-M 'P 4/m m m'
_symmetry_Int_Tables_number 123
_symmetry_space_group_name_Hall '-P 4 2'
loop_
_atom_site_label
_atom_site_type_symbol
_atom_site_fract_x
_atom_site_fract_y
_atom_site_fract_z
Te1 Te 0.000 0.000 0.000
As1 As 0.000 0.000 0.500
Au1 Au 0.500 0.500 0.000
N1 N 0.000 0.500 0.500
```

---

A geometry-optimized TeAsAuN2 structure. Source: Alexandria, functional GGA-PBE.

Calculated values
E above lowest polymorph   403 meV/atom
Volume   26.3 A^3/atom
E_form (uncorrected)   1.668 eV per atom
Magnetization   3.29 μB per formula unit
N(E_F)   2.59 states/eV per cell

Geometry as CIF:
```
data_TeAsAuN2
_cell_length_a 3.981
_cell_length_b 3.981
_cell_length_c 8.301
_cell_angle_alpha 90.00
_cell_angle_beta 90.00
_cell_angle_gamma 90.00
_symmetry_space_group_name_H-M 'P 4/m m m'
_symmetry_Int_Tables_number 123
_symmetry_space_group_name_Hall '-P 4 2'
loop_
_atom_site_label
_atom_site_type_symbol
_atom_site_fract_x
_atom_site_fract_y
_atom_site_fract_z
Te1 Te 0.000 0.000 0.000
As1 As 0.500 0.500 0.000
Au1 Au 0.000 0.000 0.500
N1 N 0.000 0.500 0.500
```

---

A geometry-optimized U2As2AuN2 structure. Source: Alexandria, functional GGA-PBE.

Calculated values
Volume   19.3 A^3/atom
E_form (uncorrected)   -0.507 eV per atom
Magnetization   0.24 μB per formula unit
N(E_F)   6.69 states/eV per cell

Geometry as CIF:
```
data_U2As2AuN2
_cell_length_a 3.7419
_cell_length_b 3.7419
_cell_length_c 11.1547
_cell_angle_alpha 90.00
_cell_angle_beta 90.00
_cell_angle_gamma 120.00
_symmetry_space_group_name_H-M 'P -3 m 1'
_symmetry_Int_Tables_number 164
_symmetry_space_group_name_Hall '-P 3 2"'
loop_
_atom_site_label
_atom_site_type_symbol
_atom_site_fract_x
_atom_site_fract_y
_atom_site_fract_z
U1 U 0.3333 0.6667 0.2784
As1 As 0.0000 0.0000 0.1080
Au1 Au 0.0000 0.0000 0.5000
N1 N 0.3333 0.6667 0.6930
```

---

A geometry-optimized Na3As2Au structure. Source: Alexandria, functional GGA-PBE.

Calculated values
Volume   24.1 A^3/atom
Magnetization   0.00 μB per formula unit
N(E_F)   0.53 states/eV per cell
Formation energy   -0.390 eV/atom

Geometry as CIF:
```
data_Na3As2Au
_cell_length_a 8.862
_cell_length_b 6.054
_cell_length_c 10.780
_cell_angle_alpha 90.00
_cell_angle_beta 90.00
_cell_angle_gamma 90.00
_symmetry_space_group_name_H-M 'P 1 21/c 1'
_symmetry_Int_Tables_number 14
loop_
_symmetry_equiv_pos_as_xyz
'x,y,z'
'-x,-y,-z'
'-x,y+1/2,-z+1/2'
'x,-y+1/2,z+1/2'
loop_
_atom_site_label
_atom_site_type_symbol
_atom_site_fract_x
_atom_site_fract_y
_atom_site_fract_z
Na1 Na 0.104 0.081 0.134
Na2 Na 0.251 0.749 0.889
Na3 Na 0.395 0.081 0.634
As1 As 0.016 0.610 0.101
As2 As 0.485 0.611 0.601
Au1 Au 0.249 0.249 0.885
```

---

A geometry-optimized NaAsAu structure. Source: Alexandria, functional GGA-PBE.

Calculated values
Volume   23.9 A^3/atom
Magnetization   0.00 μB per formula unit
N(E_F)   0.86 states/eV per cell
Formation energy   -0.337 eV/atom

Geometry as CIF:
```
data_NaAsAu
_cell_length_a 9.201
_cell_length_b 5.871
_cell_length_c 6.360
_cell_angle_alpha 90.00
_cell_angle_beta 123.31
_cell_angle_gamma 90.00
_symmetry_space_group_name_H-M 'C 1 2/m 1'
_symmetry_Int_Tables_number 12
loop_
_symmetry_equiv_pos_as_xyz
'x,y,z'
'-x,-y,-z'
'-x,y,-z'
'x,-y,z'
'x+1/2,y+1/2,z'
'-x+1/2,-y+1/2,-z'
'-x+1/2,y+1/2,-z'
'x+1/2,-y+1/2,z'
loop_
_atom_site_label
_atom_site_type_symbol
_atom_site_fract_x
_atom_site_fract_y
_atom_site_fract_z
Na1 Na 0.116 0.000 0.333
As1 As 0.004 0.500 0.303
Au1 Au 0.250 0.250 0.000
```

---

A geometry-optimized NaAsAu structure. Source: Alexandria, functional GGA-PBE.

Calculated values
Volume   21.4 A^3/atom
Magnetization   0.00 μB per formula unit
N(E_F)   0.79 states/eV per cell
Formation energy   -0.318 eV/atom

Geometry as CIF:
```
data_NaAsAu
_cell_length_a 4.4710
_cell_length_b 4.4710
_cell_length_c 3.7053
_cell_angle_alpha 90.00
_cell_angle_beta 90.00
_cell_angle_gamma 120.00
_symmetry_space_group_name_H-M 'P -6 m 2'
_symmetry_Int_Tables_number 187
_symmetry_space_group_name_Hall 'P -6 2'
loop_
_atom_site_label
_atom_site_type_symbol
_atom_site_fract_x
_atom_site_fract_y
_atom_site_fract_z
Na1 Na 0.0000 0.0000 0.0000
As1 As 0.6667 0.3333 0.5000
Au1 Au 0.3333 0.6667 0.5000
```

---

A geometry-optimized Na2As2Au structure. Source: Alexandria, functional GGA-PBE.

Calculated values
E above lowest polymorph   10 meV/atom
Volume   22.1 A^3/atom
Magnetization   0.00 μB per formula unit
N(E_F)   3.53 states/eV per cell
Formation energy   -0.351 eV/atom

Geometry as CIF:
```
data_Na2As2Au
_cell_length_a 6.818
_cell_length_b 6.818
_cell_length_c 4.758
_cell_angle_alpha 90.00
_cell_angle_beta 90.00
_cell_angle_gamma 90.00
_symmetry_space_group_name_H-M 'P 4/m b m'
_symmetry_Int_Tables_number 127
_symmetry_space_group_name_Hall '-P 4 2ab'
loop_
_atom_site_label
_atom_site_type_symbol
_atom_site_fract_x
_atom_site_fract_y
_atom_site_fract_z
Na1 Na 0.173 0.327 0.000
As1 As 0.133 0.633 0.500
Au1 Au 0.000 0.000 0.500
```

---

A geometry-optimized NaAs2Au2 structure. Source: Alexandria, functional GGA-PBE.

Calculated values
E above lowest polymorph   50 meV/atom
Volume   23.0 A^3/atom
Magnetization   0.00 μB per formula unit
N(E_F)   4.40 states/eV per cell
Formation energy   -0.098 eV/atom

Geometry as CIF:
```
data_NaAs2Au2
_cell_length_a 4.926
_cell_length_b 4.926
_cell_length_c 9.497
_cell_angle_alpha 90.00
_cell_angle_beta 90.00
_cell_angle_gamma 90.00
_symmetry_space_group_name_H-M 'I 4/m m m'
_symmetry_Int_Tables_number 139
_symmetry_space_group_name_Hall '-I 4 2'
loop_
_atom_site_label
_atom_site_type_symbol
_atom_site_fract_x
_atom_site_fract_y
_atom_site_fract_z
Na1 Na 0.000 0.000 0.000
As1 As 0.000 0.500 0.250
Au1 Au 0.000 0.000 0.346
```

---

A geometry-optimized Na2AsAu2 structure. Source: Alexandria, functional GGA-PBE.

Calculated values
E above lowest polymorph   305 meV/atom
Volume   21.8 A^3/atom
Magnetization   0.00 μB per formula unit
N(E_F)   2.81 states/eV per cell
Formation energy   -0.035 eV/atom

Geometry as CIF:
```
data_Na2AsAu2
_cell_length_a 8.826
_cell_length_b 8.826
_cell_length_c 2.794
_cell_angle_alpha 90.00
_cell_angle_beta 90.00
_cell_angle_gamma 90.00
_symmetry_space_group_name_H-M 'P 4/m b m'
_symmetry_Int_Tables_number 127
_symmetry_space_group_name_Hall '-P 4 2ab'
loop_
_atom_site_label
_atom_site_type_symbol
_atom_site_fract_x
_atom_site_fract_y
_atom_site_fract_z
Na1 Na 0.178 0.322 0.000
As1 As 0.000 0.000 0.000
Au1 Au 0.117 0.617 0.500
```